PBE NaHo4ErS8, relaxed; crystal system = trigonal; symmetry = No. 160; formation energy from raw total energies = -27.46 eV/f.u.; total moment = 0.00 μB/f.u.; Fermi-level density of states = 0.00 states/eV per cell
1.0
-6.273 -2.467 4.419
-0.427 -7.661 2.468
1.009 -1.789 7.783
Na Ho Er S
1 4 1 8
direct
0.375 0.375 0.874 Na
0.625 0.625 0.125 Ho
0.005 0.486 0.505 Ho
0.486 0.005 0.505 Ho
0.005 0.005 0.505 Ho
0.005 0.005 0.986 Er
0.238 0.784 0.740 S
0.784 0.238 0.740 S
0.238 0.238 0.740 S
0.239 0.239 0.283 S
0.759 0.226 0.257 S
0.226 0.759 0.257 S
0.759 0.759 0.257 S
0.758 0.758 0.726 S

PBE NaHoEr4S8, relaxed; crystal system = trigonal; symmetry = No. 160; formation energy from raw total energies = -27.45 eV/f.u.; total moment = 0.00 μB/f.u.; Fermi-level density of states = 0.00 states/eV per cell
1.0
8.030 0.000 0.000
4.015 6.954 0.000
4.015 2.318 6.570
Na Ho Er S
1 1 4 8
direct
0.375 0.375 0.876 Na
0.005 0.005 0.986 Ho
0.625 0.625 0.125 Er
0.005 0.486 0.505 Er
0.486 0.005 0.505 Er
0.005 0.005 0.505 Er
0.239 0.783 0.738 S
0.783 0.239 0.738 S
0.239 0.239 0.738 S
0.239 0.239 0.284 S
0.757 0.226 0.259 S
0.226 0.757 0.259 S
0.757 0.757 0.259 S
0.758 0.758 0.726 S

PBE Na3Ho2ErS6, relaxed; crystal system = monoclinic; symmetry = No. 12; formation energy from raw total energies = -22.24 eV/f.u.; total moment = 0.00 μB/f.u.; Fermi-level density of states = 0.00 states/eV per cell
1.0
6.859 -0.001 0.000
-3.429 5.940 0.000
-1.144 -1.980 6.679
Na Ho Er S
3 2 1 6
direct
0.167 0.833 0.500 Na
0.833 0.167 0.500 Na
0.500 0.500 0.500 Na
0.333 0.667 0.000 Ho
0.667 0.333 0.000 Ho
0.000 0.000 0.000 Er
0.925 0.593 0.775 S
0.743 0.743 0.225 S
0.075 0.407 0.225 S
0.593 0.925 0.775 S
0.257 0.257 0.775 S
0.407 0.075 0.225 S

PBE Na3HoEr2S6, relaxed; crystal system = monoclinic; symmetry = No. 12; formation energy from raw total energies = -22.25 eV/f.u.; total moment = 0.00 μB/f.u.; Fermi-level density of states = 0.00 states/eV per cell
1.0
-2.357 6.270 -1.434
-1.143 -5.167 -4.350
-4.534 -1.783 5.107
Na Ho Er S
3 1 2 6
direct
0.167 0.833 0.500 Na
0.833 0.167 0.500 Na
0.500 0.500 0.500 Na
0.000 0.000 0.000 Ho
0.333 0.667 0.000 Er
0.667 0.333 0.000 Er
0.925 0.591 0.775 S
0.741 0.741 0.225 S
0.075 0.409 0.225 S
0.591 0.925 0.775 S
0.259 0.259 0.775 S
0.409 0.075 0.225 S

PBE NaHoEr2S4, relaxed; crystal system = monoclinic; symmetry = No. 10; formation energy from raw total energies = -15.24 eV/f.u.; total moment = 0.00 μB/f.u.; Fermi-level density of states = 2.50 states/eV per cell
1.0
-0.028 -0.355 3.858
2.713 -6.181 -0.550
6.748 0.531 0.098
Na Ho Er S
1 1 2 4
direct
0.500 0.500 0.000 Na
0.000 0.500 0.500 Ho
0.000 0.000 0.000 Er
0.500 0.000 0.500 Er
0.000 0.757 0.744 S
0.000 0.243 0.256 S
0.500 0.752 0.250 S
0.500 0.248 0.750 S

PBE Na4Ho3ErS8, relaxed; crystal system = trigonal; symmetry = No. 166; formation energy from raw total energies = -29.65 eV/f.u.; total moment = 0.00 μB/f.u.; Fermi-level density of states = 0.00 states/eV per cell
1.0
7.924 0.000 0.000
0.000 8.096 0.112
-3.962 -3.959 5.606
Na Ho Er S
4 3 1 8
direct
0.500 0.000 0.000 Na
0.500 0.000 0.500 Na
0.000 0.000 0.000 Na
0.000 0.000 0.500 Na
0.500 0.500 0.000 Ho
0.500 0.500 0.500 Ho
0.000 0.500 0.500 Ho
0.000 0.500 0.000 Er
0.241 0.725 0.984 S
0.241 0.725 0.483 S
0.258 0.274 0.516 S
0.743 0.725 0.984 S
0.257 0.275 0.016 S
0.742 0.726 0.484 S
0.759 0.275 0.517 S
0.759 0.275 0.016 S

PBE NaHo4ErSe8, relaxed; crystal system = trigonal; symmetry = No. 160; formation energy from raw total energies = -24.71 eV/f.u.; total moment = 0.00 μB/f.u.; Fermi-level density of states = 0.00 states/eV per cell
1.0
8.424 0.000 0.000
4.212 7.295 0.000
4.212 2.432 6.866
Na Ho Er Se
1 4 1 8
direct
0.375 0.375 0.874 Na
0.625 0.625 0.126 Ho
0.005 0.485 0.505 Ho
0.485 0.005 0.505 Ho
0.005 0.005 0.505 Ho
0.005 0.005 0.985 Er
0.239 0.780 0.741 Se
0.780 0.239 0.741 Se
0.239 0.239 0.741 Se
0.240 0.240 0.280 Se
0.759 0.225 0.257 Se
0.225 0.759 0.257 Se
0.759 0.759 0.257 Se
0.758 0.758 0.726 Se

PBE Na2HoEr3Se6, relaxed; crystal system = monoclinic; symmetry = No. 12; formation energy from raw total energies = -20.38 eV/f.u.; total moment = 0.00 μB/f.u.; Fermi-level density of states = 3.02 states/eV per cell
1.0
7.051 0.003 0.002
-3.521 6.109 0.002
-1.175 -2.035 6.738
Na Ho Er Se
2 1 3 6
direct
0.334 0.666 0.000 Na
0.666 0.334 0.000 Na
0.000 0.000 0.000 Ho
0.169 0.831 0.500 Er
0.831 0.169 0.500 Er
0.500 0.500 0.500 Er
0.915 0.586 0.745 Se
0.758 0.758 0.259 Se
0.085 0.414 0.255 Se
0.586 0.915 0.745 Se
0.242 0.242 0.741 Se
0.414 0.085 0.255 Se

What is the formula in the third record? Na3Ho2ErS6